1.
GGA+U MgMnAgF2, optimized geometry; SG = P4/mmm, No. 123; total DFT energy (no corrections) = -0.34350 Ry per atom; size of the total moment = 1.018 μB/atom
1.0
3.858 0.000 0.000
0.000 3.858 0.000
0.000 0.000 6.344
Mg Mn Ag F
1 1 1 2
direct
0.000 0.000 0.000
0.500 0.500 0.500
0.000 0.000 0.500
0.000 0.500 0.000
0.500 0.000 0.000

---

2.
GGA+U CaFePO2, optimized geometry; SG = P4/mmm, No. 123; size of the total moment = 1.281 μB/atom; offset from the most stable computed form = 932 meV per atom
1.0
4.216 0.000 0.000
0.000 4.216 0.000
0.000 0.000 5.706
Ca Fe P O
1 1 1 2
direct
0.000 0.000 0.000
0.500 0.500 0.500
0.000 0.000 0.500
0.000 0.500 0.000
0.500 0.000 0.000